Compound: MgZnNiF6
Source: the Alexandria database
Functional: PBE with a Hubbard U
Structure: optimized geometry

Cell lengths 5.1656, 5.1656, 8.8921 Å; angles 90.00, 90.00, 120.00 degrees
Space group P-31c (No. 163)
Unique sites:
Mg (0.3333, 0.6667, 0.2500)
Zn (0.3333, 0.6667, 0.7500)
Ni (0.0000, 0.0000, 0.0000)
F (0.0078, 0.3355, 0.1286)

Summary:
- total energy (eV/atom) = -4.491